Entry A
# PBE LiZrCoPb, relaxed
# **Size of the total moment**: 0.0 μB per formula unit
data_LiZrCoPb
_symmetry_space_group_name_H-M 'F -4 3 m'
_symmetry_Int_Tables_number 216
_symmetry_space_group_name_Hall 'F -4 2 3'
_cell_length_a 6.5250
_cell_length_b 6.5250
_cell_length_c 6.5250
_cell_angle_alpha 90.00
_cell_angle_beta 90.00
_cell_angle_gamma 90.00
loop_
_atom_site_label
_atom_site_fract_x
_atom_site_fract_y
_atom_site_fract_z
Li1 0.0000 0.0000 0.0000
Zr1 0.2500 0.2500 0.2500
Co1 0.2500 0.2500 0.7500
Pb1 0.0000 0.0000 0.5000



Entry B
# PBE LiZrCoPb, relaxed
# **Size of the total moment**: 0.0 μB per formula unit
data_LiZrCoPb
_symmetry_space_group_name_H-M 'F -4 3 m'
_symmetry_Int_Tables_number 216
_symmetry_space_group_name_Hall 'F -4 2 3'
_cell_length_a 6.3717
_cell_length_b 6.3717
_cell_length_c 6.3717
_cell_angle_alpha 90.00
_cell_angle_beta 90.00
_cell_angle_gamma 90.00
loop_
_atom_site_label
_atom_site_fract_x
_atom_site_fract_y
_atom_site_fract_z
Li1 0.0000 0.0000 0.0000
Zr1 0.2500 0.2500 0.7500
Co1 0.0000 0.0000 0.5000
Pb1 0.2500 0.2500 0.2500



Entry C
# PBE LiZrCoPb, relaxed
# **Size of the total moment**: 0.9 μB per formula unit
data_LiZrCoPb
_symmetry_space_group_name_H-M 'F -4 3 m'
_symmetry_Int_Tables_number 216
_symmetry_space_group_name_Hall 'F -4 2 3'
_cell_length_a 6.6278
_cell_length_b 6.6278
_cell_length_c 6.6278
_cell_angle_alpha 90.00
_cell_angle_beta 90.00
_cell_angle_gamma 90.00
loop_
_atom_site_label
_atom_site_fract_x
_atom_site_fract_y
_atom_site_fract_z
Li1 0.0000 0.0000 0.0000
Zr1 0.0000 0.0000 0.5000
Co1 0.2500 0.2500 0.7500
Pb1 0.2500 0.2500 0.2500



We find entry B to be the most stable, with the next structure 29.1 kJ/mol of atoms higher.